Material: Er2GaIr
Method: DFT, PBE
State: optimized geometry

Computed properties:
The magnetization is 0.0 μB/f.u. Its energy of formation from the pure elements is -0.783 eV/atom. The total DFT energy (no corrections) comes out at -6.04 eV/atom. Its space group is P2_1/m, No. 11.

abc: 5.7841 4.3259 7.5625
angles: 90.00 111.28 90.00
Positions (direct):
Er 0.1778 0.2500 0.4121
Er 0.2675 0.7500 0.0646
Er 0.7325 0.2500 0.9354
Er 0.8222 0.7500 0.5879
Ga 0.3767 0.7500 0.7084
Ga 0.6233 0.2500 0.2916
Ir 0.1442 0.2500 0.7863
Ir 0.8558 0.7500 0.2137

---

Material: AgPt2W
Method: DFT, PBE
State: optimized geometry

Computed properties:
The magnetization is 0.0 μB/f.u. Its energy of formation from the pure elements is 0.083 eV/atom. The total DFT energy (no corrections) comes out at -6.89 eV/atom. Its space group is I4/mmm, No. 139.

abc: 4.8677 4.8677 4.8677
angles: 131.46 131.46 71.08
Positions (direct):
Ag 0.0000 0.0000 0.0000
Pt 0.2500 0.7500 0.5000
Pt 0.7500 0.2500 0.5000
W 0.5000 0.5000 0.0000

---

Material: Fe2NiIr
Method: DFT, PBE
State: optimized geometry

Computed properties:
The magnetization is 5.6 μB/f.u. Its energy of formation from the pure elements is -0.040 eV/atom. The total DFT energy (no corrections) comes out at -7.93 eV/atom. Its space group is I4/mmm, No. 139.

abc: 4.4714 4.4714 4.4714
angles: 131.55 131.55 70.94
Positions (direct):
Fe 0.2500 0.7500 0.5000
Fe 0.7500 0.2500 0.5000
Ni 0.0000 0.0000 0.0000
Ir 0.5000 0.5000 0.0000